No. 1
A plane-wave DFT calculation with GGA-PBEsol was carried out for a geometry-optimized YInMo2 structure.

The structure in POSCAR format:
```
YInMo2
1.0
4.7366 0.0000 0.0000
2.3683 4.1020 0.0000
2.3683 1.3673 3.8674
In Mo Y
1 2 1
direct
0.2500 0.2500 0.2500 In
0.0000 0.0000 0.0000 Mo
0.7500 0.7500 0.7500 Mo
0.5000 0.5000 0.5000 Y
```

Output
Symmetry   F-43m
Crystal system   cubic
DFT formation energy   5.15 kcal/mol of atoms
Total DFT energy (no corrections)   -8.11 eV/atom

***

No. 2
A plane-wave DFT calculation with GGA-PBEsol was carried out for a geometry-optimized YInMo2 structure.

The structure in POSCAR format:
```
YInMo2
1.0
-3.0254 0.4896 2.6882
-2.6986 -1.1640 -2.8252
0.4776 -4.3229 1.3248
In Mo Y
1 2 1
direct
0.0000 0.0000 0.5000 In
0.0000 0.5000 0.0000 Mo
0.5000 0.0000 0.0000 Mo
0.5000 0.5000 0.5000 Y
```

Output
Symmetry   P4/mmm
Crystal system   tetragonal
DFT formation energy   7.93 kcal/mol of atoms
Total DFT energy (no corrections)   -7.99 eV/atom

***

No. 3
A plane-wave DFT calculation with GGA-PBEsol was carried out for a geometry-optimized Y4InMo structure.

The structure in POSCAR format:
```
Y4InMo
1.0
5.9594 0.0000 0.0000
2.9797 5.1610 0.0000
2.9797 1.7203 4.8658
In Mo Y
1 1 4
direct
0.7500 0.7500 0.7500 In
0.0000 0.0000 0.0000 Mo
0.3735 0.3735 0.3735 Y
0.3735 0.3735 0.8794 Y
0.8794 0.3735 0.3735 Y
0.3735 0.8794 0.3735 Y
```

Output
Symmetry   F-43m
Crystal system   cubic
DFT formation energy   15.46 kcal/mol of atoms
Total DFT energy (no corrections)   -6.34 eV/atom

***

No. 4
A plane-wave DFT calculation with GGA-PBEsol was carried out for a geometry-optimized Y2InMo structure.

The structure in POSCAR format:
```
Y2InMo
1.0
-0.3655 1.4850 2.8933
-4.9449 -0.1381 -0.5539
0.0324 -5.8425 1.1674
In Mo Y
1 1 2
direct
0.3076 0.0000 0.4886 In
0.4439 0.5000 0.7644 Mo
0.0316 0.0000 0.9403 Y
0.7170 0.5000 0.3067 Y
```

Output
Symmetry   Pm
Crystal system   monoclinic
DFT formation energy   2.53 kcal/mol of atoms
Total DFT energy (no corrections)   -6.99 eV/atom

***

Please write out number 3 again, unchanged.
A plane-wave DFT calculation with GGA-PBEsol was carried out for a geometry-optimized Y4InMo structure.

The structure in POSCAR format:
```
Y4InMo
1.0
5.9594 0.0000 0.0000
2.9797 5.1610 0.0000
2.9797 1.7203 4.8658
In Mo Y
1 1 4
direct
0.7500 0.7500 0.7500 In
0.0000 0.0000 0.0000 Mo
0.3735 0.3735 0.3735 Y
0.3735 0.3735 0.8794 Y
0.8794 0.3735 0.3735 Y
0.3735 0.8794 0.3735 Y
```

Output
Symmetry   F-43m
Crystal system   cubic
DFT formation energy   15.46 kcal/mol of atoms
Total DFT energy (no corrections)   -6.34 eV/atom

***

Question: Look up the total DFT energy (no corrections) of the second one.
Answer: -7.99 eV/atom

***

Question: Which value of DFT formation energy does entry 2 give?
Answer: 7.93 kcal/mol of atoms